This record from the Alexandria database describes a relaxed MgBeAl2Au5 crystal. The functional is PBE. Values from VASP.

```
&SYSTEM
  ibrav = 0, nat = 9, ntyp = 4
/
ATOMIC_SPECIES
Be 9.01 Be.upf
Au 196.97 Au.upf
Al 26.98 Al.upf
Mg 24.30 Mg.upf
ATOMIC_POSITIONS crystal
Be 0.500 0.000 0.000
Au 0.640 0.885 0.281
Au 0.640 0.395 0.281
Au 0.000 0.000 0.000
Al 0.803 0.803 0.607
Au 0.360 0.115 0.719
Mg 0.000 0.500 0.000
Au 0.360 0.605 0.719
Al 0.197 0.197 0.393
CELL_PARAMETERS angstrom
-1.875 -1.329 -3.792
-4.733 -1.213 2.766
1.058 7.551 -0.577
```

## Properties
**Crystal system**: orthorhombic
**Raw total energy**: -3.471 eV per atom
**Symmetry**: Immm, No. 71
**Formation energy from the elements**: -0.228 eV/atom
**Total magnetic moment**: 0.0 μB/cell

***

This record from the Alexandria database describes a relaxed Tm8IrPt2 crystal. The functional is PBE. Values from VASP.

```
&SYSTEM
  ibrav = 0, nat = 11, ntyp = 3
/
ATOMIC_SPECIES
Tm 168.93 Tm.upf
Pt 195.08 Pt.upf
Ir 192.22 Ir.upf
ATOMIC_POSITIONS crystal
Tm 0.593 0.443 0.186
Pt 0.186 0.708 0.372
Tm 0.204 0.311 0.407
Tm 0.665 0.966 0.331
Ir 0.500 0.000 0.000
Tm 0.031 0.793 0.063
Pt 0.814 0.292 0.628
Tm 0.796 0.689 0.593
Tm 0.969 0.207 0.937
Tm 0.407 0.557 0.814
Tm 0.335 0.034 0.669
CELL_PARAMETERS angstrom
4.935 0.000 0.000
0.000 6.713 0.149
-2.467 -2.702 8.096
```

## Properties
**Crystal system**: monoclinic
**Raw total energy**: -5.879 eV per atom
**ΔE to the lowest computed polymorph**: 0.00 eV/f.u.
**Symmetry**: C2/m, No. 12
**Formation energy from the elements**: -0.724 eV/atom
**Total magnetic moment**: 0.0 μB/cell

***

This record from the Alexandria database describes a relaxed AlV2Fe5W2 crystal. The functional is PBE. Values from VASP.

```
&SYSTEM
  ibrav = 0, nat = 20, ntyp = 4
/
ATOMIC_SPECIES
W 183.84 W.upf
Fe 55.84 Fe.upf
Al 26.98 Al.upf
V 50.94 V.upf
ATOMIC_POSITIONS crystal
W 0.000 0.179 0.321
Fe 0.500 0.000 0.500
Fe 0.500 0.500 0.000
W 0.000 0.821 0.679
Fe 0.500 0.202 0.043
Fe 0.500 0.457 0.298
Fe 0.500 0.043 0.798
Fe 0.500 0.957 0.202
Al 0.000 0.000 0.000
W 0.000 0.321 0.821
W 0.000 0.679 0.179
Fe 0.500 0.798 0.957
V 0.000 0.634 0.866
Al 0.000 0.500 0.500
V 0.000 0.134 0.634
Fe 0.500 0.298 0.543
Fe 0.500 0.543 0.702
V 0.000 0.366 0.134
Fe 0.500 0.702 0.457
V 0.000 0.866 0.366
CELL_PARAMETERS angstrom
2.852 0.000 0.000
0.000 9.421 0.000
0.000 0.000 9.421
```

## Properties
**Crystal system**: tetragonal
**Raw total energy**: -8.822 eV per atom
**Symmetry**: P4/mbm, No. 127
**Formation energy from the elements**: 0.198 eV/atom
**Total magnetic moment**: 1.1 μB/cell

***

This record from the Alexandria database describes a relaxed CaTlIn3 crystal. The functional is PBE. Values from VASP.

```
&SYSTEM
  ibrav = 0, nat = 5, ntyp = 3
/
ATOMIC_SPECIES
Tl 204.38 Tl.upf
In 114.82 In.upf
Ca 40.08 Ca.upf
ATOMIC_POSITIONS crystal
Tl 0.000 0.000 0.000
In 0.000 0.000 0.500
In 0.500 0.000 0.000
Ca 0.500 0.500 0.500
In 0.000 0.500 0.000
CELL_PARAMETERS angstrom
-1.210 -4.949 -2.595
1.450 -2.843 4.745
-5.397 0.346 1.856
```

## Properties
**Crystal system**: cubic
**Raw total energy**: -2.235 eV per atom
**ΔE to the lowest computed polymorph**: 1.70 eV/f.u.
**Symmetry**: Pm-3m, No. 221
**Formation energy from the elements**: 0.282 eV/atom
**Total magnetic moment**: 0.0 μB/cell

***

This record from the Alexandria database describes a relaxed MgCd3Sn2 crystal. The functional is PBE. Values from VASP.

```
&SYSTEM
  ibrav = 0, nat = 6, ntyp = 3
/
ATOMIC_SPECIES
Sn 118.71 Sn.upf
Cd 112.41 Cd.upf
Mg 24.30 Mg.upf
ATOMIC_POSITIONS crystal
Sn 0.000 0.339 0.678
Cd 0.500 0.162 0.324
Cd 0.500 0.838 0.676
Cd 0.500 0.500 0.000
Mg 0.000 0.000 0.000
Sn 0.000 0.661 0.322
CELL_PARAMETERS angstrom
-4.066 -0.330 -2.130
-1.234 -3.300 2.868
-2.035 6.404 2.893
```

## Properties
**Crystal system**: orthorhombic
**Raw total energy**: -2.064 eV per atom
**Symmetry**: Cmmm, No. 65
**Formation energy from the elements**: -0.006 eV/atom
**Total magnetic moment**: 0.0 μB/cell

***

This record from the Alexandria database describes a relaxed ZnCo2SbTe crystal. The functional is PBE. Values from VASP.

```
&SYSTEM
  ibrav = 0, nat = 5, ntyp = 4
/
ATOMIC_SPECIES
Zn 65.41 Zn.upf
Te 127.60 Te.upf
Sb 121.76 Sb.upf
Co 58.93 Co.upf
ATOMIC_POSITIONS crystal
Zn 0.500 0.500 0.500
Te 0.000 0.500 0.000
Sb 0.000 0.000 0.000
Co 0.000 0.000 0.500
Co 0.500 0.000 0.000
CELL_PARAMETERS angstrom
4.722 0.000 0.000
0.000 6.214 0.000
0.000 0.000 4.722
```

## Properties
**Crystal system**: tetragonal
**Raw total energy**: -3.500 eV per atom
**Uncorrected formation energy**: 1.050 eV/atom
**Symmetry**: P4/mmm, No. 123
**Total magnetic moment**: 3.5 μB/cell

***

This record from the Alexandria database describes a relaxed NdIn2Hg crystal. The functional is PBE. Values from VASP.

```
&SYSTEM
  ibrav = 0, nat = 4, ntyp = 3
/
ATOMIC_SPECIES
In 114.82 In.upf
Nd 144.24 Nd.upf
Hg 200.59 Hg.upf
ATOMIC_POSITIONS crystal
In 0.905 0.905 0.284
Nd 0.000 0.000 0.000
Hg 0.500 0.500 0.500
In 0.095 0.095 0.716
CELL_PARAMETERS angstrom
3.470 0.000 0.000
1.735 3.005 0.000
1.735 1.002 11.336
```

## Properties
**Crystal system**: trigonal
**Raw total energy**: -2.544 eV per atom
**Symmetry**: R-3m, No. 166
**Formation energy from the elements**: 0.092 eV/atom
**Total magnetic moment**: 0.0 μB/cell

***

This record from the Alexandria database describes a relaxed CsKCd2Fe crystal. The functional is PBE. Values from VASP.

```
&SYSTEM
  ibrav = 0, nat = 5, ntyp = 4
/
ATOMIC_SPECIES
Cs 132.91 Cs.upf
Cd 112.41 Cd.upf
Fe 55.84 Fe.upf
K 39.10 K.upf
ATOMIC_POSITIONS crystal
Cs 0.000 0.000 0.000
Cd 0.000 0.000 0.500
Fe 0.000 0.500 0.000
K 0.500 0.500 0.500
Cd 0.500 0.000 0.000
CELL_PARAMETERS angstrom
6.756 0.000 0.000
0.000 5.899 0.000
0.000 0.000 6.756
```

## Properties
**Crystal system**: tetragonal
**Raw total energy**: -1.428 eV per atom
**Symmetry**: P4/mmm, No. 123
**Formation energy from the elements**: 1.021 eV/atom
**Total magnetic moment**: 3.0 μB/cell

***

This record from the Alexandria database describes a relaxed PtSeO2 crystal. The functional is PBE. Values from VASP.

```
&SYSTEM
  ibrav = 0, nat = 4, ntyp = 3
/
ATOMIC_SPECIES
Pt 195.08 Pt.upf
O 16.00 O.upf
Se 78.96 Se.upf
ATOMIC_POSITIONS crystal
Pt 0.500 0.500 0.500
O 0.115 0.115 0.115
O 0.885 0.885 0.885
Se 0.000 0.000 0.000
CELL_PARAMETERS angstrom
3.559 -1.450 5.077
5.718 -0.339 2.781
3.974 1.835 4.625
```

## Properties
**Crystal system**: trigonal
**Raw total energy**: -4.920 eV per atom
**Uncorrected formation energy**: -0.059 eV/atom
**ΔE to the lowest computed polymorph**: 0.68 eV/f.u.
**Symmetry**: R-3m, No. 166
**Total magnetic moment**: 0.0 μB/cell

***

This record from the Alexandria database describes a relaxed K3Rb12In crystal. The functional is PBE. Values from VASP.

```
&SYSTEM
  ibrav = 0, nat = 16, ntyp = 3
/
ATOMIC_SPECIES
Rb 85.47 Rb.upf
K 39.10 K.upf
In 114.82 In.upf
ATOMIC_POSITIONS crystal
Rb 0.500 0.000 0.634
Rb 0.500 0.000 0.902
Rb 0.000 0.500 0.634
K 0.000 0.000 0.500
In 0.000 0.000 0.000
Rb 0.500 0.000 0.098
Rb 0.000 0.500 0.366
K 0.000 0.000 0.768
Rb 0.500 0.500 0.500
Rb 0.000 0.500 0.098
Rb 0.500 0.500 0.000
Rb 0.500 0.000 0.366
Rb 0.500 0.500 0.233
K 0.000 0.000 0.232
Rb 0.000 0.500 0.902
Rb 0.500 0.500 0.767
CELL_PARAMETERS angstrom
-4.422 -2.348 -4.680
5.088 -0.481 -4.566
4.822 -25.055 8.015
```

## Properties
**Crystal system**: tetragonal
**Raw total energy**: -1.071 eV per atom
**Symmetry**: P4/mmm, No. 123
**Formation energy from the elements**: 0.032 eV/atom
**Total magnetic moment**: 0.0 μB/cell

***

This record from the Alexandria database describes a relaxed Sr2Ca3Rh2 crystal. The functional is PBE. Values from VASP.

```
&SYSTEM
  ibrav = 0, nat = 7, ntyp = 3
/
ATOMIC_SPECIES
Sr 87.62 Sr.upf
Ca 40.08 Ca.upf
Rh 102.91 Rh.upf
ATOMIC_POSITIONS crystal
Sr 0.644 0.481 0.806
Ca 0.500 0.000 0.000
Sr 0.356 0.519 0.194
Rh 0.943 0.104 0.781
Ca 0.795 0.163 0.428
Rh 0.057 0.896 0.219
Ca 0.205 0.837 0.572
CELL_PARAMETERS angstrom
4.143 -0.001 -0.929
-2.522 5.782 -1.547
-0.187 0.210 8.866
```

## Properties
**Crystal system**: monoclinic
**Raw total energy**: -3.716 eV per atom
**Symmetry**: C2/m, No. 12
**Formation energy from the elements**: -0.277 eV/atom
**Total magnetic moment**: 0.0 μB/cell

***

This record from the Alexandria database describes a relaxed BeZnSi3 crystal. The functional is PBE. Values from VASP.

```
&SYSTEM
  ibrav = 0, nat = 5, ntyp = 3
/
ATOMIC_SPECIES
Zn 65.41 Zn.upf
Be 9.01 Be.upf
Si 28.09 Si.upf
ATOMIC_POSITIONS crystal
Zn 0.500 0.500 0.500
Be 0.000 0.000 0.000
Si 0.000 0.000 0.500
Si 0.000 0.500 0.000
Si 0.500 0.000 0.000
CELL_PARAMETERS angstrom
-3.547 2.388 -0.613
-1.607 -1.426 3.747
1.870 3.305 2.059
```

## Properties
**Crystal system**: cubic
**Raw total energy**: -3.540 eV per atom
**Uncorrected formation energy**: 0.714 eV/atom
**ΔE to the lowest computed polymorph**: 0.00 eV/f.u.
**Symmetry**: Pm-3m, No. 221
**Total magnetic moment**: 0.0 μB/cell